No. 1
## Dy2Al (PBE)

Data for a geometry-optimized Dy2Al structure.

## Properties
The value obtained for the calculated volume is 316.2 Å³ per cell. As for the energy of formation: -0.292 eV per atom. As for the total DFT energy (no corrections): -4.61 eV/atom.

CIF file:
```
data_Dy2Al
_cell_length_a 6.548
_cell_length_b 5.100
_cell_length_c 9.471
_cell_angle_alpha 90.00
_cell_angle_beta 90.00
_cell_angle_gamma 90.00
_symmetry_space_group_name_H-M 'P n m a'
_symmetry_Int_Tables_number 62
loop_
_symmetry_equiv_pos_as_xyz
'x,y,z'
'-x,-y,-z'
'-x+1/2,-y,z+1/2'
'x+1/2,y,-z+1/2'
'x+1/2,-y+1/2,-z+1/2'
'-x+1/2,y+1/2,z+1/2'
'-x,y+1/2,-z'
'x,-y+1/2,z'
loop_
_atom_site_label
_atom_site_fract_x
_atom_site_fract_y
_atom_site_fract_z
_atom_site_occupancy
Dy1 0.027 0.250 0.209 1
Dy2 0.187 0.250 0.573 1
Al1 0.207 0.250 0.897 1
```


No. 2
## Dy2Al3 (PBE)

Data for a geometry-optimized Dy2Al3 structure.

## Properties
The value obtained for the calculated volume is 454.5 Å³ per cell. As for the energy of formation: -0.419 eV per atom. As for the total DFT energy (no corrections): -4.51 eV/atom.

CIF file:
```
data_Dy2Al3
_cell_length_a 5.547
_cell_length_b 10.295
_cell_length_c 7.958
_cell_angle_alpha 90.00
_cell_angle_beta 90.00
_cell_angle_gamma 90.00
_symmetry_space_group_name_H-M 'C m c e'
_symmetry_Int_Tables_number 64
_symmetry_space_group_name_Hall '-C 2ac 2'
loop_
_atom_site_label
_atom_site_fract_x
_atom_site_fract_y
_atom_site_fract_z
_atom_site_occupancy
Dy1 0.000 0.156 0.098 1
Al1 0.000 0.000 0.500 1
Al2 0.250 0.102 0.750 1
```


Copy entry 1 word for word.
## Dy2Al (PBE)

Data for a geometry-optimized Dy2Al structure.

## Properties
The value obtained for the calculated volume is 316.2 Å³ per cell. As for the energy of formation: -0.292 eV per atom. As for the total DFT energy (no corrections): -4.61 eV/atom.

CIF file:
```
data_Dy2Al
_cell_length_a 6.548
_cell_length_b 5.100
_cell_length_c 9.471
_cell_angle_alpha 90.00
_cell_angle_beta 90.00
_cell_angle_gamma 90.00
_symmetry_space_group_name_H-M 'P n m a'
_symmetry_Int_Tables_number 62
loop_
_symmetry_equiv_pos_as_xyz
'x,y,z'
'-x,-y,-z'
'-x+1/2,-y,z+1/2'
'x+1/2,y,-z+1/2'
'x+1/2,-y+1/2,-z+1/2'
'-x+1/2,y+1/2,z+1/2'
'-x,y+1/2,-z'
'x,-y+1/2,z'
loop_
_atom_site_label
_atom_site_fract_x
_atom_site_fract_y
_atom_site_fract_z
_atom_site_occupancy
Dy1 0.027 0.250 0.209 1
Dy2 0.187 0.250 0.573 1
Al1 0.207 0.250 0.897 1
```


- Which of these has the highest total DFT energy (no corrections)?
  Dy2Al3